Compound: Ca2Te
Source: Alexandria via LeMat-Bulk
Functional: PBE-GGA
Structure: relaxed

Cell lengths 5.140, 5.140, 4.107 Å; angles 90.00, 90.00, 90.00 degrees
Fractional positions:
Ca: 0.000 0.500 0.000
Ca: 0.500 0.000 0.000
Te: 0.000 0.000 0.500

- Spin magnetization: 0.000 μB/atom
- SG: P4/mmm (123)
- Total energy: -9.6 eV/cell